The following is a PBE calculation of a relaxed CuMo5 crystal, from Alexandria.

For the offset from the most stable computed form, the calculation gives 0.91 eV/f.u. The value obtained for the size of the total moment is 0.000 μB/atom. Its final energy is -112.8 eV per cell.

Cell lengths 4.6125, 2.5841, 15.6471 Å; angles 90.00, 90.00, 90.00 degrees
Space group Amm2 (No. 38)
Symmetry-distinct sites (fractional):
Cu 0.0000 0.0000 0.0000
Mo 0.0000 0.0000 0.3410
Mo 0.0000 0.0000 0.6657
Mo 0.5000 0.0000 0.0974
Mo 0.5000 0.0000 0.4375
Mo 0.5000 0.0000 0.7660